P | Computed, not measured: RuCl after structural relaxation at the GGA-PBE level of DFT.

Cell and atoms, written as CIF:
```
data_RuCl
_cell_length_a 7.269
_cell_length_b 7.269
_cell_length_c 3.028
_cell_angle_alpha 90.00
_cell_angle_beta 90.00
_cell_angle_gamma 90.00
_space_group_name_H-M_alt 'P 42/m n m'
_space_group_IT_number 136
_space_group_name_Hall '-P 4n 2n'
loop_
_atom_site_label
_atom_site_fract_x
_atom_site_fract_y
_atom_site_fract_z
_atom_site_occupancy
Ru1 0.121 0.121 0.000 1
Cl1 0.199 0.801 0.000 1
```

Q | Computed, not measured: RuCl after structural relaxation at the GGA-PBE level of DFT.

Cell and atoms, written as CIF:
```
data_RuCl
_cell_length_a 2.921
_cell_length_b 4.356
_cell_length_c 11.271
_cell_angle_alpha 90.00
_cell_angle_beta 90.00
_cell_angle_gamma 90.00
_space_group_name_H-M_alt 'A m m 2'
_space_group_IT_number 38
loop_
_space_group_symop_operation_xyz
'x,y,z'
'-x,-y,z'
'-x,y,z'
'x,-y,z'
'x,y+1/2,z+1/2'
'-x,-y+1/2,z+1/2'
'-x,y+1/2,z+1/2'
'x,-y+1/2,z+1/2'
loop_
_atom_site_label
_atom_site_fract_x
_atom_site_fract_y
_atom_site_fract_z
_atom_site_occupancy
Ru1 0.000 0.000 0.000 1
Ru2 0.000 0.000 0.202 1
Cl1 0.000 0.000 0.768 1
Cl2 0.500 0.000 0.482 1
```

R | Computed, not measured: RuCl after structural relaxation at the GGA-PBE level of DFT.

Cell and atoms, written as CIF:
```
data_RuCl
_cell_length_a 9.894
_cell_length_b 4.523
_cell_length_c 5.392
_cell_angle_alpha 90.00
_cell_angle_beta 90.00
_cell_angle_gamma 90.00
_space_group_name_H-M_alt 'P m n 21'
_space_group_IT_number 31
loop_
_space_group_symop_operation_xyz
'x,y,z'
'-x+1/2,-y,z+1/2'
'-x,y,z'
'x+1/2,-y,z+1/2'
loop_
_atom_site_label
_atom_site_fract_x
_atom_site_fract_y
_atom_site_fract_z
_atom_site_occupancy
Ru1 0.000 0.031 0.000 1
Ru2 0.228 0.942 0.079 1
Cl1 0.000 0.514 0.873 1
Cl2 0.179 0.631 0.413 1
```

Least stable structure among those shown: P.